Record 1
Below is a relaxed structure of Er4TlRu2, with properties calculated at the PBE-GGA level.

Cell lengths 7.5829, 7.5829, 7.5829 Å; angles 109.12, 109.12, 110.17 degrees
Closest atoms and distances in Å follow each position.
Atoms (fractional coordinates):
Er: 0.0001 0.7571 0.0994  2 Ru 2.72-2.87, 1 Tl 3.04
Er: 0.0922 0.4929 0.7429  2 Ru 2.72-2.87, 1 Tl 3.04
Er: 0.0993 0.9999 0.7571  2 Ru 2.72-2.87, 1 Tl 3.04
Er: 0.2429 0.3422 0.2429  2 Ru 2.72-2.87, 1 Tl 3.04
Er: 0.5071 0.2501 0.5994  2 Ru 2.72-2.87, 1 Tl 3.04
Er: 0.6507 0.9078 0.4006  2 Ru 2.72-2.87, 1 Tl 3.04
Er: 0.6578 0.9007 0.9006  2 Ru 2.72-2.87, 1 Tl 3.04
Er: 0.7499 0.3493 0.2571  2 Ru 2.72-2.87, 1 Tl 3.04
Tl: 0.2500 0.7500 0.5000  8 Er 3.04-3.29
Tl: 0.5000 0.5000 0.0000  8 Er 3.04-3.29
Ru: 0.0115 0.1250 0.3865  4 Er 2.72-2.87
Ru: 0.3750 0.9885 0.1135  4 Er 2.72-2.87
Ru: 0.7385 0.6250 0.6135  4 Er 2.72-2.87
Ru: 0.8750 0.2615 0.8865  4 Er 2.72-2.87

Results
calculated volume: 23.972 Å³/atom
energy relative to the elements: -156 kJ/mol of formula units
M_tot: 0.000 μB/atom

Record 2
Below is a relaxed structure of Sr2HgRh, with properties calculated at the PBE-GGA level.

Cell lengths 5.3731, 5.3731, 3.8297 Å; angles 90.00, 90.00, 90.00 degrees
Closest atoms and distances in Å follow each position.
Atoms (fractional coordinates):
Sr: 0.0000 0.5000 0.0000  4 Hg 3.30, 4 Rh 3.30
Sr: 0.5000 0.0000 0.0000  4 Hg 3.30, 4 Rh 3.30
Hg: 0.0000 0.0000 0.5000  8 Sr 3.30
Rh: 0.5000 0.5000 0.5000  8 Sr 3.30

Results
calculated volume: 27.641 Å³/atom
energy relative to the elements: -101 kJ/mol of formula units
M_tot: 0.000 μB/atom

Record 3
Below is a relaxed structure of K3U3CdTe8, with properties calculated at the PBE-GGA level.

Cell lengths 8.9672, 8.9672, 9.8555 Å; angles 117.39, 117.39, 59.44 degrees
Closest atoms and distances in Å follow each position.
Atoms (fractional coordinates):
K: 0.0000 0.0000 0.0000  6 Te 3.53-3.57
K: 0.0000 0.5000 0.0000  6 Te 3.53-3.59
K: 0.5000 0.0000 0.0000  6 Te 3.53-3.59
U: 0.0000 0.5000 0.5000  6 Te 3.07-3.12
U: 0.5000 0.0000 0.5000  6 Te 3.07-3.12
U: 0.5000 0.5000 0.5000  6 Te 3.10-3.14
Cd: 0.0000 0.0000 0.5000  6 Te 3.09-3.23
Te: 0.2339 0.7352 0.7045  1 Cd 3.09, 2 U 3.10
Te: 0.2448 0.2448 0.7101  2 U 3.07, 1 Cd 3.23
Te: 0.2624 0.2624 0.2882  3 U 3.12-3.14
Te: 0.2648 0.7661 0.2955  1 Cd 3.09, 2 U 3.10
Te: 0.7352 0.2339 0.7045  1 Cd 3.09, 2 U 3.10
Te: 0.7376 0.7376 0.7118  3 U 3.12-3.14
Te: 0.7552 0.7552 0.2899  2 U 3.07, 1 Cd 3.23
Te: 0.7661 0.2648 0.2955  1 Cd 3.09, 2 U 3.10

Results
calculated volume: 38.589 Å³/atom
formation energy from raw total energies: -0.742 eV per atom
M_tot: 0.149 μB/atom